Entry 1:
# Rb2BeBrF6 | Alexandria | PBE | relaxed
data_Rb2BeBrF6
_cell_length_a 6.323
_cell_length_b 6.323
_cell_length_c 8.507
_cell_angle_alpha 90.00
_cell_angle_beta 90.00
_cell_angle_gamma 90.00
_symmetry_space_group_name_H-M 'I 4/m m m'
_symmetry_Int_Tables_number 139
_symmetry_space_group_name_Hall '-I 4 2'
loop_
_atom_site_label
_atom_site_type_symbol
_atom_site_fract_x
_atom_site_fract_y
_atom_site_fract_z
Rb1 Rb 0.000 0.500 0.250
Be1 Be 0.000 0.000 0.000
Br1 Br 0.000 0.000 0.500
F1 F 0.000 0.000 0.273
F2 F 0.186 0.186 0.000
# Crystal system ... tetragonal
# Uncorrected formation energy ... -2.161 eV per atom
# Total DFT energy (no corrections) ... -4.017 eV per atom


Entry 2:
# Pr5HgGe2 | Alexandria | PBE | relaxed
data_Pr5HgGe2
_cell_length_a 8.806
_cell_length_b 10.076
_cell_length_c 6.675
_cell_angle_alpha 90.00
_cell_angle_beta 131.17
_cell_angle_gamma 90.00
_symmetry_space_group_name_H-M 'C 1 m 1'
_symmetry_Int_Tables_number 8
loop_
_symmetry_equiv_pos_as_xyz
'x,y,z'
'x,-y,z'
'x+1/2,y+1/2,z'
'x+1/2,-y+1/2,z'
loop_
_atom_site_label
_atom_site_type_symbol
_atom_site_fract_x
_atom_site_fract_y
_atom_site_fract_z
Pr1 Pr 0.000 0.000 0.000
Pr2 Pr 0.001 0.500 0.003
Pr3 Pr 0.251 0.251 0.501
Pr4 Pr 0.499 0.000 0.501
Hg1 Hg 0.002 0.000 0.501
Ge1 Ge 0.250 0.250 0.001
# Formation energy ... -405.4 meV per atom
# Crystal system ... monoclinic
# Polymorph energy (0 for the lowest one) ... 3.78 kcal/mol of atoms
# Total DFT energy (no corrections) ... -4.585 eV per atom


Entry 3:
# Sr2In4Au3 | Alexandria | PBE | relaxed
data_Sr2In4Au3
_cell_length_a 15.2909
_cell_length_b 15.2909
_cell_length_c 4.6052
_cell_angle_alpha 90.00
_cell_angle_beta 90.00
_cell_angle_gamma 120.00
_symmetry_space_group_name_H-M 'P -6 2 m'
_symmetry_Int_Tables_number 189
_symmetry_space_group_name_Hall 'P -6 -2'
loop_
_atom_site_label
_atom_site_type_symbol
_atom_site_fract_x
_atom_site_fract_y
_atom_site_fract_z
Sr1 Sr 0.0000 0.4529 0.0000
Sr2 Sr 0.0000 0.8194 0.5000
Sr3 Sr 0.3333 0.6667 0.0000
In1 In 0.0000 0.0000 0.0000
In2 In 0.0000 0.2817 0.5000
In3 In 0.1243 0.6516 0.5000
In4 In 0.1826 0.3813 0.0000
Au1 Au 0.0000 0.1786 0.0000
Au2 Au 0.0000 0.6578 0.0000
Au3 Au 0.1709 0.4930 0.5000
# Formation energy ... -553.2 meV per atom
# Crystal system ... hexagonal
# Total DFT energy (no corrections) ... -3.236 eV per atom


Entry 4:
# CoSN2 | Alexandria | PBE | relaxed
data_CoSN2
_cell_length_a 2.9091
_cell_length_b 2.9091
_cell_length_c 16.3667
_cell_angle_alpha 90.00
_cell_angle_beta 90.00
_cell_angle_gamma 120.00
_symmetry_space_group_name_H-M 'R -3 m'
_symmetry_Int_Tables_number 166
_symmetry_space_group_name_Hall '-R 3 2"'
loop_
_atom_site_label
_atom_site_type_symbol
_atom_site_fract_x
_atom_site_fract_y
_atom_site_fract_z
Co1 Co 0.0000 0.0000 0.0000
S1 S 0.0000 0.0000 0.5000
N1 N 0.0000 0.0000 0.3931
# Crystal system ... trigonal
# Polymorph energy (0 for the lowest one) ... 17.14 kcal/mol of atoms
# Uncorrected formation energy ... 0.706 eV per atom
# Total DFT energy (no corrections) ... -6.265 eV per atom